No. 1
Fe2HgIr (PBE, relaxed); formation energy = 0.334 eV per atom; space-group type = I-4m2
1.0
-0.906 -3.531 3.128
2.790 -3.793 -0.951
0.993 4.661 0.600
Fe Hg Ir
2 1 1
direct
0.000 0.000 0.000
0.250 0.750 0.500
0.500 0.500 0.000
0.750 0.250 0.500


No. 2
CuAg2TeO4 (PBE, relaxed); formation energy without anion corrections = -0.4451 eV per atom; space-group type = P1
1.0
4.812 -0.041 -0.073
-0.083 5.159 -0.438
-2.318 -2.907 5.478
Cu Ag Te O
1 2 1 4
direct
0.907 0.737 0.524
0.471 0.939 0.985
0.229 0.277 0.491
0.876 0.473 0.937
0.729 0.610 0.688
0.857 0.389 0.213
0.242 0.792 0.173
0.076 0.170 0.762


No. 3
TmMg2Pt2 (PBE, relaxed); formation energy = -0.880 eV per atom; space-group type = P2_1/m
1.0
-1.112 1.668 4.185
4.588 -1.700 1.897
1.391 8.026 -2.830
Tm Mg Pt
2 4 4
direct
0.250 0.803 0.235
0.750 0.197 0.765
0.250 0.767 0.862
0.750 0.233 0.138
0.250 0.357 0.506
0.750 0.643 0.494
0.250 0.895 0.584
0.750 0.105 0.416
0.250 0.315 0.972
0.750 0.685 0.028